A plane-wave DFT calculation with PBE was carried out for a relaxed structure of Ce3Pu4S8.

Lattice parameters (Å, degrees): 7.973 7.973 7.975 120.01 120.01 89.95
Fractional coordinates of all 15 atoms:
Ce1 0.000 0.000 0.000
Ce2 0.000 0.500 0.000
Ce3 0.500 0.000 0.000
Pu1 0.000 0.000 0.500
Pu2 0.000 0.500 0.500
Pu3 0.500 0.000 0.500
Pu4 0.500 0.500 0.000
S1 0.247 0.753 0.500
S2 0.248 0.248 0.501
S3 0.249 0.249 0.996
S4 0.252 0.748 0.000
S5 0.748 0.252 0.000
S6 0.751 0.751 0.004
S7 0.752 0.752 0.499
S8 0.753 0.247 0.500

Summary:
* ρ: 7.656 Mg/m³
* SG: C2/m (12)
* total moment: 0.880 μB/atom
* ΔE_f (raw): -1.85 eV/atom